Compound: CsSrPS2
Source: Alexandria
Functional: PBE
Structure: relaxed

## Properties
ΔE_f (raw) = 2.43 eV per formula unit
DOS(E_F) = 5.1 states/eV/cell
Crystal system = tetragonal
Space-group type = No. 123
Calculated total energy = -0.1012 Ha/atom
Total moment = 0.20 μB per cell

```
CsSrPS2
1.0
5.4002 0.0000 0.0000
0.0000 5.4002 0.0000
0.0000 0.0000 5.5855
P S Sr Cs
1 2 1 1
direct
0.0000 0.0000 0.5000 P
0.0000 0.5000 0.0000 S
0.5000 0.0000 0.0000 S
0.5000 0.5000 0.5000 Sr
0.0000 0.0000 0.0000 Cs
```